1.
SrTa2Hg2 | PBE-GGA | optimized geometry

Computed properties:
- Offset from the most stable computed form: 0 meV per atom
- M_tot: 0.00 μB per formula unit
- Total energy: -47.70 eV for the cell shown
- D(E_F): 1.4366 states/eV/atom
- Calculated density: 12.4 g cm⁻³
- V: 22.72 Å³ per atom
- Energy of formation: 0.429 eV per atom

Cell: 8.698 8.698 3.004 Å, 90.00 90.00 90.00°
Space group P4/mbm (No. 127)
Unique sites:
Sr  0.000  0.000  0.000 x2
Ta  0.109  0.391  0.000 x4
Hg  0.185  0.685  0.500 x4

---

2.
SrNi2Pt2 | PBE-GGA | optimized geometry

Computed properties:
- Offset from the most stable computed form: 115 meV per atom
- M_tot: 0.00 μB per formula unit
- Total energy: -51.87 eV for the cell shown
- D(E_F): 0.9703 states/eV/atom
- Calculated density: 12.0 g cm⁻³
- V: 16.48 Å³ per atom
- Energy of formation: -0.122 eV per atom

Cell: 7.638 7.638 2.826 Å, 90.00 90.00 90.00°
Space group P4/mbm (No. 127)
Unique sites:
Sr  0.000  0.000  0.000 x2
Ni  0.167  0.333  0.500 x4
Pt  0.131  0.631  0.000 x4

---

3.
Y2ZrGaN | PBE-GGA | optimized geometry

Computed properties:
- M_tot: 0.00 μB per formula unit
- Raw formation energy: -0.92 eV per atom
- Total energy: -37.44 eV for the cell shown
- D(E_F): 0.4437 states/eV/atom
- Calculated density: 5.8 g cm⁻³
- V: 20.21 Å³ per atom

Cell: 4.754 4.754 4.470 Å, 90.00 90.00 90.00°
Space group P4/mmm (No. 123)
Unique sites:
Y  0.000  0.500  0.000 x2
Zr  0.000  0.000  0.500 x1
Ga  0.500  0.500  0.500 x1
N  0.000  0.000  0.000 x1

---

4.
LiCoCu2Se | PBE-GGA | optimized geometry

Computed properties:
- M_tot: 0.10 μB per formula unit
- Raw formation energy: 0.40 eV per atom
- Total energy: -18.69 eV for the cell shown
- D(E_F): 0.3540 states/eV/atom
- Calculated density: 5.0 g cm⁻³
- V: 17.96 Å³ per atom

Cell: 4.564 4.564 4.311 Å, 90.00 90.00 90.00°
Space group P4/mmm (No. 123)
Unique sites:
Li  0.000  0.000  0.000 x1
Co  0.500  0.500  0.000 x1
Cu  0.000  0.500  0.500 x2
Se  0.500  0.500  0.500 x1